No. 1
{
  "formula": "LiTa2Cl",
  "functional": "meta-GGA SCAN",
  "state": "PBEsol geometry",
  "cell": [[2.894, 0.000, 0.000], [0.000, 3.469, 0.000], [-1.447, -1.735, 6.904]],
  "species": ["Cl", "Li", "Ta", "Ta"],
  "frac_coords": [[0.000, 0.500, 0.000], [0.500, 0.000, 0.000], [0.691, 0.691, 0.383], [0.309, 0.309, 0.617]],
  "sg": "Immm, No. 71",
  "total_energy_ev_per_atom": -35.87
}

No. 2
{
  "formula": "ZnNiOs",
  "functional": "meta-GGA SCAN",
  "state": "PBEsol geometry",
  "cell": [[-2.286, -0.232, 1.233], [-0.266, -2.415, -0.947], [3.879, -0.704, 4.300]],
  "species": ["Ni", "Os", "Zn"],
  "frac_coords": [[0.002, 0.002, 0.003], [0.658, 0.658, 0.316], [0.340, 0.340, 0.681]],
  "sg": "I4mm, No. 107",
  "formation_energy_mev_per_atom": 100
}

No. 3
{
  "formula": "CoSi3W",
  "functional": "meta-GGA SCAN",
  "state": "PBEsol geometry",
  "cell": [[-4.153, -1.768, 1.175], [0.160, -2.834, -3.701], [2.117, -3.255, 2.584]],
  "species": ["Si", "Si", "Si", "Co", "W"],
  "frac_coords": [[0.000, 0.500, 0.000], [0.000, 0.000, 0.500], [0.500, 0.000, 0.000], [0.500, 0.500, 0.500], [0.000, 0.000, 0.000]],
  "sg": "Pm-3m, No. 221",
  "total_energy_ev_per_atom": -22.23
}

No. 4
{
  "formula": "K3HfGe",
  "functional": "meta-GGA SCAN",
  "state": "PBEsol geometry",
  "cell": [[6.264, 0.000, 0.000], [0.000, 6.264, 0.000], [0.000, 0.000, 6.264]],
  "species": ["Ge", "Hf", "K", "K", "K"],
  "frac_coords": [[0.000, 0.000, 0.000], [0.500, 0.500, 0.500], [0.000, 0.500, 0.000], [0.000, 0.000, 0.500], [0.500, 0.000, 0.000]],
  "sg": "Pm-3m, No. 221",
  "formation_energy_mev_per_atom": 1206
}

No. 5
{
  "formula": "TaCu2Mo",
  "functional": "meta-GGA SCAN",
  "state": "PBEsol geometry",
  "cell": [[-4.096, -0.007, 1.413], [-1.555, -3.445, 2.117], [-0.828, 0.258, 4.245]],
  "species": ["Cu", "Cu", "Mo", "Ta"],
  "frac_coords": [[0.000, 0.000, 0.000], [0.750, 0.750, 0.750], [0.500, 0.500, 0.500], [0.250, 0.250, 0.250]],
  "sg": "F-43m, No. 216",
  "formation_energy_mev_per_atom": 413,
  "relative_energy_mev_per_atom": 278
}

No. 6
{
  "formula": "YTaCl",
  "functional": "meta-GGA SCAN",
  "state": "PBEsol geometry",
  "cell": [[-4.914, -0.329, -0.280], [-2.198, -4.405, 0.304], [-2.626, -1.175, 4.007]],
  "species": ["Y", "Cl", "Ta"],
  "frac_coords": [[0.000, 0.000, 0.000], [0.500, 0.500, 0.500], [0.250, 0.250, 0.250]],
  "sg": "F-43m, No. 216",
  "total_energy_ev_per_atom": -33.04
}

No. 7
{
  "formula": "TaNbCr2F",
  "functional": "meta-GGA SCAN",
  "state": "PBEsol geometry",
  "cell": [[3.833, 0.000, 0.000], [0.000, 4.676, 0.000], [0.000, 0.000, 4.676]],
  "species": ["Cr", "Cr", "Nb", "F", "Ta"],
  "frac_coords": [[0.000, 0.000, 0.500], [0.000, 0.500, 0.000], [0.500, 0.500, 0.500], [0.500, 0.000, 0.000], [0.000, 0.000, 0.000]],
  "sg": "P4/mmm, No. 123",
  "total_energy_ev_per_atom": -27.37
}

No. 8
{
  "formula": "LiLaSi2",
  "functional": "meta-GGA SCAN",
  "state": "PBEsol geometry",
  "cell": [[-1.028, -0.313, -4.315], [-1.320, -4.201, 0.619], [-2.623, 3.570, 2.657]],
  "species": ["Si", "Si", "La", "Li"],
  "frac_coords": [[0.750, 0.250, 0.500], [0.250, 0.750, 0.500], [0.500, 0.500, 0.000], [0.000, 0.000, 0.000]],
  "sg": "I4/mmm, No. 139",
  "relative_energy_mev_per_atom": 318
}

Number 1: size of the total moment 0.00 μB per cell. Number 2: size of the total moment 0.00 μB per cell. Number 3: size of the total moment 2.95 μB per cell. Number 4: size of the total moment 1.00 μB per cell. Number 5: size of the total moment 0.01 μB per cell. Number 6: size of the total moment 5.01 μB per cell. Number 7: size of the total moment 2.95 μB per cell. Number 8: size of the total moment 0.00 μB per cell.